## ZrH3Se (GGA-PBE)

Data for an optimized crystal structure of ZrH3Se.

- calculated total energy (eV per atom) = -4.388
- offset from the most stable computed form (eV/atom) = 0.000
- DOS at the Fermi energy (states/eV/atom) = 0.567

Unit cell a=3.8375 b=3.8375 c=3.8375 alpha=90.00 beta=90.00 gamma=90.00
With the nearest neighbours (Å) after each atom.
Fractional positions:
Zr 0.0000 0.0000 0.0000  6 H 1.92
H 0.0000 0.0000 0.5000  2 Zr 1.92
H 0.0000 0.5000 0.0000  2 Zr 1.92
H 0.5000 0.0000 0.0000  2 Zr 1.92
Se 0.5000 0.5000 0.5000  12 H 2.71